1.
An optimized crystal structure of La2BePdC, computed with PBE.

Calculated values
- E_form: -349 meV per atom
- Raw total energy: -29.74 eV per formula unit
- Magnetization: 0.0000 μB per atom
- D(E_F): 0.524 states/eV/atom

Cell: 5.370 5.370 3.466 Å, 90.00 90.00 90.00°
Fractional positions:
La (0.000, 0.500, 0.000)
La (0.500, 0.000, 0.000)
Be (0.000, 0.000, 0.500)
Pd (0.500, 0.500, 0.500)
C (0.000, 0.000, 0.000)



2.
An optimized crystal structure of La2BePtC, computed with PBE.

Calculated values
- E_form: -476 meV per atom
- Raw total energy: -31.22 eV per formula unit
- Magnetization: 0.0000 μB per atom
- D(E_F): 0.574 states/eV/atom

Cell: 5.347 5.347 3.471 Å, 90.00 90.00 90.00°
Fractional positions:
La (0.000, 0.500, 0.000)
La (0.500, 0.000, 0.000)
Be (0.000, 0.000, 0.500)
Pt (0.500, 0.500, 0.500)
C (0.000, 0.000, 0.000)



3.
An optimized crystal structure of LaBeRhC2, computed with PBE.

Calculated values
- E_form: 973 meV per atom
- Raw total energy: -29.59 eV per formula unit
- Magnetization: 0.0000 μB per atom
- D(E_F): 0.608 states/eV/atom

Cell: 3.953 3.953 4.326 Å, 90.00 90.00 90.00°
Fractional positions:
La (0.000, 0.000, 0.000)
Be (0.500, 0.500, 0.500)
Rh (0.500, 0.500, 0.000)
C (0.000, 0.500, 0.500)
C (0.500, 0.000, 0.500)



4.
An optimized crystal structure of LaBe2Ru2C, computed with PBE.

Calculated values
- E_form: -264 meV per atom
- Raw total energy: -41.74 eV per formula unit
- Magnetization: 0.0000 μB per atom
- D(E_F): 0.330 states/eV/atom

Cell: 4.041 4.041 5.374 Å, 90.00 90.00 90.00°
Fractional positions:
La (0.000, 0.000, 0.000)
Be (0.500, 0.500, 0.257)
Be (0.500, 0.500, 0.743)
Ru (0.000, 0.500, 0.500)
Ru (0.500, 0.000, 0.500)
C (0.000, 0.000, 0.500)



5.
An optimized crystal structure of La2BeRuC, computed with PBE.

Calculated values
- E_form: -32 meV per atom
- Raw total energy: -32.24 eV per formula unit
- Magnetization: 0.0000 μB per atom
- D(E_F): 0.567 states/eV/atom

Cell: 5.311 5.311 3.398 Å, 90.00 90.00 90.00°
Fractional positions:
La (0.000, 0.500, 0.000)
La (0.500, 0.000, 0.000)
Be (0.000, 0.000, 0.500)
Ru (0.500, 0.500, 0.500)
C (0.000, 0.000, 0.000)



6.
An optimized crystal structure of La2BeCSe, computed with PBE.

Calculated values
- Raw total energy: -30.09 eV per formula unit
- Magnetization: 0.0000 μB per atom
- D(E_F): 0.379 states/eV/atom

Cell: 5.380 5.380 3.494 Å, 90.00 90.00 90.00°
Fractional positions:
La (0.000, 0.500, 0.000)
La (0.500, 0.000, 0.000)
Be (0.000, 0.000, 0.500)
C (0.000, 0.000, 0.000)
Se (0.500, 0.500, 0.500)



7.
An optimized crystal structure of La2BeSiC, computed with PBE.

Calculated values
- Raw total energy: -29.74 eV per formula unit
- Magnetization: 0.0000 μB per atom
- D(E_F): 0.477 states/eV/atom

Cell: 5.410 5.410 3.466 Å, 90.00 90.00 90.00°
Fractional positions:
La (0.000, 0.500, 0.000)
La (0.500, 0.000, 0.000)
Be (0.000, 0.000, 0.500)
Si (0.500, 0.500, 0.500)
C (0.000, 0.000, 0.000)



8.
An optimized crystal structure of La2BeSnC, computed with PBE.

Calculated values
- E_form: -335 meV per atom
- Raw total energy: -28.48 eV per formula unit
- Magnetization: 0.0000 μB per atom
- D(E_F): 0.487 states/eV/atom

Cell: 5.590 5.590 3.556 Å, 90.00 90.00 90.00°
Fractional positions:
La (0.000, 0.500, 0.000)
La (0.500, 0.000, 0.000)
Be (0.000, 0.000, 0.500)
Sn (0.500, 0.500, 0.500)
C (0.000, 0.000, 0.000)